# 1
Entry from Alexandria: an optimized crystal structure of Pm8PrTh4 (PBE).

Summary:
energy = -5.012 eV/atom
ΔE_f = 0.562 eV per atom

```
data_Pm8PrTh4
_chemical_formula_sum 'Pm24 Pr3 Th12'
_cell_length_a 11.3540
_cell_length_b 11.3540
_cell_length_c 13.3261
_cell_angle_alpha 90.00
_cell_angle_beta 90.00
_cell_angle_gamma 120.00
_space_group_name_H-M_alt 'R -3 m'
_space_group_IT_number 166
_space_group_name_Hall '-R 3 2"'
loop_
_atom_site_label
_atom_site_type_symbol
_atom_site_fract_x
_atom_site_fract_y
_atom_site_fract_z
Pm1 Pm 0.0000 0.0000 0.2374
Pm2 Pm 0.0105 0.5052 0.7375
Pr1 Pr 0.0000 0.0000 0.5000
Th1 Th 0.0000 0.0000 0.0000
Th2 Th 0.0000 0.5000 0.0000
```

# 2
Entry from Alexandria: an optimized crystal structure of Pm2PrTh (PBE).

Summary:
energy = -5.364 eV/atom
offset from the most stable computed form = 0.040 eV per atom
ΔE_f = 0.061 eV per atom

```
data_Pm2PrTh
_chemical_formula_sum 'Pm2 Pr1 Th1'
_cell_length_a 5.1547
_cell_length_b 5.1547
_cell_length_c 5.1402
_cell_angle_alpha 90.00
_cell_angle_beta 90.00
_cell_angle_gamma 90.00
_space_group_name_H-M_alt 'P 4/m m m'
_space_group_IT_number 123
_space_group_name_Hall '-P 4 2'
loop_
_atom_site_label
_atom_site_type_symbol
_atom_site_fract_x
_atom_site_fract_y
_atom_site_fract_z
Pm1 Pm 0.0000 0.5000 0.0000
Pr1 Pr 0.0000 0.0000 0.5000
Th1 Th 0.5000 0.5000 0.5000
```